A relaxed structure of ZrScSeF2, computed with PBE.

## Properties
The value obtained for the total moment is 0.1219 μB per atom. As for the uncorrected formation energy: -0.31 eV/atom.

abc: 4.509 5.183 4.509
angles: 90.00 90.00 90.00
Site moments in Bohr magnetons follow the coordinates.
Fractional coordinates of all 5 atoms:
Zr (0.500, 0.500, 0.500)  0.35
F (0.000, 0.000, 0.500)  0.01
F (0.500, 0.000, 0.000)  0.01
Sc (0.000, 0.500, 0.000)  0.05
Se (0.000, 0.000, 0.000)  -0.01